# 1
## U4CSe5 (PBE)

Data for a relaxed U4CSe5 crystal.

a b c (Å): 8.8135 8.8135 7.6285
angles (deg): 103.14 103.14 25.66
Closest atoms and distances in Å follow each position.
Fractional positions:
1 U 0.0043 0.0043 0.2843  2 C 2.57, 1 Se 2.82
2 U 0.3486 0.3486 0.4203  1 C 2.53, 2 Se 2.78
3 U 0.6514 0.6514 0.5797  1 C 2.53, 2 Se 2.78
4 U 0.9957 0.9957 0.7157  2 C 2.57, 1 Se 2.82
5 C 0.5000 0.5000 0.5000  6 U 2.53-2.57
6 Se 0.1632 0.1632 0.8435  3 U 2.78-2.82
7 Se 0.1751 0.1751 0.3237  4 U 2.86-2.90
8 Se 0.5000 0.5000 0.0000  4 U 2.91
9 Se 0.8249 0.8249 0.6763  4 U 2.86-2.90
10 Se 0.8368 0.8368 0.1565  3 U 2.78-2.82

Properties
Its uncorrected energy is -80.1 eV per cell. For the spin magnetization, the calculation gives 8.78 μB/f.u.

# 2
## YGa2SnAu (PBE)

Data for a relaxed YGa2SnAu crystal.

a b c (Å): 5.1483 5.1483 5.8616
angles (deg): 90.00 90.00 90.00
Closest atoms and distances in Å follow each position.
Fractional positions:
1 Y 0.0000 0.0000 0.0000  2 Sn 2.93
2 Ga 0.0000 0.5000 0.5000  2 Sn 2.57
3 Ga 0.5000 0.0000 0.5000  2 Sn 2.57
4 Sn 0.0000 0.0000 0.5000  4 Ga 2.57
5 Au 0.5000 0.5000 0.0000  4 Y 3.64, 8 Ga 3.90

Properties
Its uncorrected energy is -17.7 eV per cell. Its formation enthalpy at 0 K is 9.682 kcal/mol of atoms. For the spin magnetization, the calculation gives 0.00 μB/f.u.

# 3
## CsBeP2Cl (PBE)

Data for a relaxed CsBeP2Cl crystal.

a b c (Å): 6.1041 6.1041 6.2477
angles (deg): 90.00 90.00 90.00
Closest atoms and distances in Å follow each position.
Fractional positions:
1 Cs 0.0000 0.0000 0.0000  4 P 3.05, 2 Cl 3.12
2 Be 0.5000 0.5000 0.5000  4 Cl 4.32, 8 P 4.37
3 P 0.0000 0.5000 0.0000  2 Cs 3.05
4 P 0.5000 0.0000 0.0000  2 Cs 3.05
5 Cl 0.0000 0.0000 0.5000  2 Cs 3.12

Properties
Its uncorrected energy is -8.6 eV per cell. For the spin magnetization, the calculation gives 3.90 μB/f.u.

# 4
## ZnCu5Au (PBE)

Data for a relaxed ZnCu5Au crystal.

a b c (Å): 4.5768 4.5768 5.2136
angles (deg): 90.00 90.00 112.47
Closest atoms and distances in Å follow each position.
Fractional positions:
1 Zn 0.0000 0.0000 0.0000  10 Cu 2.54-2.62
2 Cu 0.0000 0.5000 0.2445  6 Cu 2.54-2.66, 2 Zn 2.62, 2 Au 2.65
3 Cu 0.0000 0.5000 0.7555  6 Cu 2.54-2.66, 2 Zn 2.62, 2 Au 2.65
4 Cu 0.5000 0.0000 0.2445  6 Cu 2.54-2.66, 2 Zn 2.62, 2 Au 2.65
5 Cu 0.5000 0.0000 0.7555  6 Cu 2.54-2.66, 2 Zn 2.62, 2 Au 2.65
6 Cu 0.5000 0.5000 0.0000  2 Zn 2.54, 2 Au 2.61, 8 Cu 2.62
7 Au 0.5000 0.5000 0.5000  10 Cu 2.61-2.65

Properties
Its uncorrected energy is -24.7 eV per cell. Its formation enthalpy at 0 K is 1.174 kcal/mol of atoms. For the spin magnetization, the calculation gives 0.00 μB/f.u.

# 5
## KYIr2 (PBE)

Data for a relaxed KYIr2 crystal.

a b c (Å): 4.9076 4.9076 7.4347
angles (deg): 98.67 98.67 37.01
Closest atoms and distances in Å follow each position.
Fractional positions:
1 K 0.0000 0.0000 0.0000  2 K 3.12
2 Y 0.5000 0.5000 0.5000  6 Ir 2.78-2.83
3 Ir 0.2376 0.2376 0.6462  2 Ir 2.71, 3 Y 2.78-2.83
4 Ir 0.7624 0.7624 0.3538  2 Ir 2.71, 3 Y 2.78-2.83

Properties
Its uncorrected energy is -24.2 eV per cell. Its formation enthalpy at 0 K is 6.165 kcal/mol of atoms. For the spin magnetization, the calculation gives 0.00 μB/f.u.

# 6
## TaTcN2F (PBE)

Data for a relaxed TaTcN2F crystal.

a b c (Å): 3.9134 3.9134 3.9079
angles (deg): 90.00 90.00 90.00
Closest atoms and distances in Å follow each position.
Fractional positions:
1 Ta 0.0000 0.0000 0.0000  8 N 2.77, 4 F 2.77
2 Tc 0.5000 0.5000 0.5000  2 F 1.95, 4 N 1.96
3 N 0.0000 0.5000 0.5000  2 Tc 1.96
4 N 0.5000 0.0000 0.5000  2 Tc 1.96
5 F 0.5000 0.5000 0.0000  2 Tc 1.95

Properties
Its uncorrected energy is -38.2 eV per cell. For the spin magnetization, the calculation gives 0.00 μB/f.u.

# 7
## ThScTeP (PBE)

Data for a relaxed ThScTeP crystal.

a b c (Å): 7.5678 7.5678 7.5678
angles (deg): 30.90 30.90 30.90
Closest atoms and distances in Å follow each position.
Fractional positions:
1 Th 0.0000 0.0000 0.0000  3 P 2.83
2 Sc 0.1979 0.1979 0.1979  3 P 2.67
3 Te 0.4383 0.4383 0.4383  3 Sc 3.07, 3 Th 3.25, 1 P 3.32
4 P 0.5921 0.5921 0.5921  3 Sc 2.67, 3 Th 2.83

Properties
Its uncorrected energy is -27.7 eV per cell. For the spin magnetization, the calculation gives 0.00 μB/f.u.

# 8
## LaThPa (PBE)

Data for a relaxed LaThPa crystal.

a b c (Å): 6.1440 6.1440 5.9576
angles (deg): 93.73 93.73 56.99
Closest atoms and distances in Å follow each position.
Fractional positions:
1 La 0.0730 0.0730 0.2614  2 La 3.35-3.39, 4 Th 3.43-3.70, 3 Pa 3.51-3.57
2 La 0.9270 0.9270 0.7386  2 La 3.35-3.39, 4 Th 3.43-3.70, 3 Pa 3.51-3.57
3 Th 0.2700 0.2700 0.8095  4 Pa 3.22-3.56, 3 La 3.43-3.55
4 Th 0.7300 0.7300 0.1905  4 Pa 3.22-3.56, 3 La 3.43-3.55
5 Pa 0.4041 0.4041 0.3439  1 Pa 2.68
6 Pa 0.5959 0.5959 0.6561  1 Pa 2.68

Properties
Its uncorrected energy is -42.0 eV per cell. Its formation enthalpy at 0 K is 6.364 kcal/mol of atoms. For the spin magnetization, the calculation gives 0.00 μB/f.u.

# 9
## Ac6PmSm4 (PBE)

Data for a relaxed Ac6PmSm4 crystal.

a b c (Å): 10.6244 10.6244 10.6244
angles (deg): 141.35 141.35 55.81
Closest atoms and distances in Å follow each position.
Fractional positions:
1 Ac 0.0000 0.5000 0.5000  2 Pm 3.52, 4 Ac 3.80
2 Ac 0.0344 0.6684 0.0000  5 Sm 3.53-3.65, 3 Ac 3.64-3.80
3 Ac 0.3316 0.3316 0.3660  5 Sm 3.53-3.65, 3 Ac 3.64-3.80
4 Ac 0.5000 0.0000 0.5000  2 Pm 3.52, 4 Ac 3.80
5 Ac 0.6684 0.0344 0.0000  5 Sm 3.53-3.65, 3 Ac 3.64-3.80
6 Ac 0.9656 0.9656 0.6340  5 Sm 3.53-3.65, 3 Ac 3.64-3.80
7 Pm 0.5000 0.5000 0.0000  4 Ac 3.52, 4 Sm 3.57
8 Sm 0.1537 0.1537 0.6348  5 Ac 3.53-3.65, 1 Pm 3.57, 1 Sm 3.63
9 Sm 0.4810 0.8463 0.0000  5 Ac 3.53-3.65, 1 Pm 3.57, 1 Sm 3.63
10 Sm 0.5190 0.5190 0.3652  5 Ac 3.53-3.65, 1 Pm 3.57, 1 Sm 3.63
11 Sm 0.8463 0.4810 0.0000  5 Ac 3.53-3.65, 1 Pm 3.57, 1 Sm 3.63

Properties
Its uncorrected energy is -44.8 eV per cell. Its formation enthalpy at 0 K is 7.329 kcal/mol of atoms. For the spin magnetization, the calculation gives 0.00 μB/f.u.

# 10
## BaNi2 (PBE)

Data for a relaxed BaNi2 crystal.

a b c (Å): 6.7029 6.7029 5.2798
angles (deg): 90.00 90.00 120.00
Closest atoms and distances in Å follow each position.
Fractional positions:
1 Ba 0.0000 0.0000 0.0000  9 Ni 2.98-3.15
2 Ba 0.3333 0.6667 0.5000  3 Ni 2.77
3 Ba 0.6667 0.3333 0.5000  3 Ni 2.77
4 Ni 0.0000 0.2047 0.5000  2 Ni 2.38
5 Ni 0.0000 0.4696 0.0000  5 Ba 3.15-3.28, 6 Ni 3.18-3.37
6 Ni 0.2047 0.0000 0.5000  2 Ni 2.38
7 Ni 0.4696 0.0000 0.0000  5 Ba 3.15-3.28, 6 Ni 3.18-3.37
8 Ni 0.5304 0.5304 0.0000  5 Ba 3.15-3.28, 6 Ni 3.18-3.37
9 Ni 0.7953 0.7953 0.5000  2 Ni 2.38

Properties
Its uncorrected energy is -34.0 eV per cell. Its formation enthalpy at 0 K is 16.544 kcal/mol of atoms. For the spin magnetization, the calculation gives 0.00 μB/f.u.

# 11
## La4Mg2Cu (PBE)

Data for a relaxed La4Mg2Cu crystal.

a b c (Å): 9.1720 9.1720 9.1720
angles (deg): 145.27 145.27 49.93
Closest atoms and distances in Å follow each position.
Fractional positions:
1 La 0.0000 0.5000 0.5000  2 Cu 2.74
2 La 0.1809 0.1809 0.0000  1 Cu 3.01, 1 Mg 3.25
3 La 0.5000 0.0000 0.5000  2 Cu 2.74
4 La 0.8191 0.8191 0.0000  1 Cu 3.01, 1 Mg 3.25
5 Mg 0.3763 0.3763 0.0000  5 La 3.25-3.42
6 Mg 0.6237 0.6237 0.0000  5 La 3.25-3.42
7 Cu 0.0000 0.0000 0.0000  6 La 2.74-3.01

Properties
Its uncorrected energy is -25.7 eV per cell. Its formation enthalpy at 0 K is 4.166 kcal/mol of atoms. For the spin magnetization, the calculation gives 0.00 μB/f.u.

# 12
## TmTiHg2 (PBE)

Data for a relaxed TmTiHg2 crystal.

a b c (Å): 4.6066 4.6066 4.1209
angles (deg): 90.00 90.00 90.00
Closest atoms and distances in Å follow each position.
Fractional positions:
1 Tm 0.0000 0.0000 0.0000  8 Hg 3.09, 4 Ti 3.26
2 Ti 0.5000 0.5000 0.0000  8 Hg 3.09, 4 Tm 3.26
3 Hg 0.0000 0.5000 0.5000  4 Tm 3.09, 4 Ti 3.09, 4 Hg 3.26
4 Hg 0.5000 0.0000 0.5000  4 Tm 3.09, 4 Ti 3.09, 4 Hg 3.26

Properties
Its uncorrected energy is -13.7 eV per cell. Its formation enthalpy at 0 K is -4.102 kcal/mol of atoms. For the spin magnetization, the calculation gives 1.48 μB/f.u.

Among the records above, which one has the highest spin magnetization? U4CSe5

The highest uncorrected energy belongs to which entry? CsBeP2Cl

Which value of spin magnetization does entry 4 give? 0.00 μB/f.u.

Which of these has the highest spin magnetization? U4CSe5